Record 1
Here is Y2ZnHg after structural relaxation from Alexandria via LeMat-Bulk. Energies are from PBE-GGA.

```
8
Lattice="7.8894 0.0000 0.0000 0.0000 7.8894 0.0000 3.9447 3.9447 3.5648" Properties=species:S:1:pos:R:3 pbc="T T T"
Zn 3.9447 3.9447 0.0000
Y 5.8264 1.9724 0.8912
Y 9.8618 9.7711 2.6736
Y 2.0630 5.9171 0.8912
Hg 0.0000 0.0000 0.0000
Zn 3.9447 7.8894 1.7824
Hg 7.8894 3.9447 1.7824
Y 5.9171 6.0077 2.6736
```

V   27.74 Å³ per atom
Spin magnetization   0.00 Bohr magnetons per cell
DFT formation energy   -0.065 eV per atom
VASP energy   -3.69 eV per atom
Excess energy over the best structure of this formula in the dataset   374 meV per atom
N(E_F)   4.2 states/eV/f.u.

Record 2
Here is Y3ZnHg3 after structural relaxation from Alexandria via LeMat-Bulk. Energies are from PBE-GGA.

```
7
Lattice="-4.7006 0.5895 0.4077 -0.3517 -0.2585 -3.6805 1.3651 -9.9772 2.4365" Properties=species:S:1:pos:R:3 pbc="T T T"
Hg -3.1770 -6.6915 0.7736
Hg -0.5264 -3.0915 -1.5987
Hg -2.6709 -1.0577 -1.5366
Y -2.8008 -3.5123 0.5143
Zn -1.0004 -8.4544 0.6894
Y -3.6806 -9.5907 -0.8408
Y -0.8926 -6.1867 -1.3463
```

V   24.96 Å³ per atom
Spin magnetization   0.00 Bohr magnetons per cell
DFT formation energy   -0.420 eV per atom
VASP energy   -3.50 eV per atom
N(E_F)   7.0 states/eV/f.u.

Record 3
Here is Y2ZnHg after structural relaxation from Alexandria via LeMat-Bulk. Energies are from PBE-GGA.

```
4
Lattice="-1.4517 3.0811 1.5202 -5.9440 -2.3401 -0.9334 -3.8392 -3.4944 3.4160" Properties=species:S:1:pos:R:3 pbc="T T T"
Hg -1.9196 -1.7472 1.7080
Zn -5.6174 -1.3767 2.0015
Y 0.0000 0.0000 0.0000
Y -3.6979 0.3705 0.2934
```

V   26.97 Å³ per atom
Spin magnetization   0.00 Bohr magnetons per cell
DFT formation energy   -0.252 eV per atom
VASP energy   -3.88 eV per atom
Excess energy over the best structure of this formula in the dataset   187 meV per atom
N(E_F)   4.3 states/eV/f.u.

Record 4
Here is Y3ZnHg after structural relaxation from Alexandria via LeMat-Bulk. Energies are from PBE-GGA.

```
10
Lattice="-2.5866 2.6671 3.5410 2.7799 -2.2207 3.7033 5.4621 8.7295 1.1346" Properties=species:S:1:pos:R:3 pbc="T T T"
Y 2.1507 0.1890 3.8403
Y -0.5671 2.5952 3.7624
Y 4.4143 8.0489 3.2935
Hg 4.5545 5.5702 5.2628
Zn 2.0706 2.8509 5.4966
Y 4.6362 2.9103 3.6063
Zn 1.9077 8.0542 5.1782
Hg 2.0105 2.6677 1.8710
Y 4.5454 8.3098 6.9124
Y 1.9287 5.3277 3.5274
```

V   26.46 Å³ per atom
Spin magnetization   0.00 Bohr magnetons per cell
DFT formation energy   -0.325 eV per atom
VASP energy   -4.52 eV per atom
Excess energy over the best structure of this formula in the dataset   0 meV per atom
N(E_F)   6.6 states/eV/f.u.